[1]
# Ba2UCu2Se5, optimized geometry, DFT PBEsol
# * DOS at the Fermi energy: 6.93 states/eV/f.u.
# * ΔE_f (raw): -1.23 eV per atom
data_Ba2UCu2Se5
_cell_length_a 13.987
_cell_length_b 4.159
_cell_length_c 9.563
_cell_angle_alpha 90.00
_cell_angle_beta 115.76
_cell_angle_gamma 90.00
_symmetry_space_group_name_H-M 'C 1 2/m 1'
_symmetry_Int_Tables_number 12
_symmetry_space_group_name_Hall '-C 2y'
loop_
_atom_site_label
_atom_site_type_symbol
_atom_site_fract_x
_atom_site_fract_y
_atom_site_fract_z
Ba1 Ba 0.176 0.000 0.202
U1 U 0.000 0.000 0.500
Cu1 Cu 0.051 0.500 0.789
Se1 Se 0.000 0.500 0.000
Se2 Se 0.117 0.500 0.440
Se3 Se 0.147 0.000 0.811

***

[2]
# BaYCuSe3, optimized geometry, DFT PBEsol
# * ΔE_f (raw): -1.60 eV per atom
data_BaYCuSe3
_cell_length_a 4.115
_cell_length_b 13.843
_cell_length_c 10.510
_cell_angle_alpha 90.00
_cell_angle_beta 90.00
_cell_angle_gamma 90.00
_symmetry_space_group_name_H-M 'C m c m'
_symmetry_Int_Tables_number 63
_symmetry_space_group_name_Hall '-C 2c 2'
loop_
_atom_site_label
_atom_site_type_symbol
_atom_site_fract_x
_atom_site_fract_y
_atom_site_fract_z
Ba1 Ba 0.000 0.247 0.250
Y1 Y 0.000 0.500 0.000
Cu1 Cu 0.000 0.032 0.750
Se1 Se 0.000 0.135 0.562
Se2 Se 0.000 0.431 0.750

***

[3]
# Ba8CuSi16, optimized geometry, DFT PBEsol
# * DOS at the Fermi energy: 3.87 states/eV/f.u.
# * ΔE_f (raw): -0.35 eV per atom
data_Ba8CuSi16
_cell_length_a 9.085
_cell_length_b 6.646
_cell_length_c 11.385
_cell_angle_alpha 90.00
_cell_angle_beta 90.27
_cell_angle_gamma 90.00
_symmetry_space_group_name_H-M 'P 1 m 1'
_symmetry_Int_Tables_number 6
_symmetry_space_group_name_Hall 'P -2y'
loop_
_atom_site_label
_atom_site_type_symbol
_atom_site_fract_x
_atom_site_fract_y
_atom_site_fract_z
Ba1 Ba 0.000 0.000 0.000
Ba2 Ba 0.025 0.500 0.379
Ba3 Ba 0.151 0.000 0.603
Ba4 Ba 0.360 0.500 0.091
Ba5 Ba 0.494 0.000 0.880
Ba6 Ba 0.522 0.500 0.495
Ba7 Ba 0.683 0.000 0.275
Ba8 Ba 0.856 0.500 0.782
Cu1 Cu 0.436 0.000 0.464
Si1 Si 0.101 0.000 0.283
Si2 Si 0.202 0.320 0.837
Si3 Si 0.207 0.500 0.654
Si4 Si 0.315 0.200 0.330
Si5 Si 0.319 0.000 0.155
Si6 Si 0.423 0.500 0.780
Si7 Si 0.611 0.000 0.601
Si8 Si 0.706 0.320 0.038
Si9 Si 0.708 0.500 0.221
Si10 Si 0.818 0.000 0.727
Si11 Si 0.826 0.183 0.543
Si12 Si 0.925 0.500 0.096

***

[4]
# BaCu2Si, optimized geometry, DFT PBEsol
# * DOS at the Fermi energy: 1.97 states/eV/f.u.
# * ΔE_f (raw): -0.27 eV per atom
data_BaCu2Si
_cell_length_a 4.1292
_cell_length_b 4.1292
_cell_length_c 16.8010
_cell_angle_alpha 90.00
_cell_angle_beta 90.00
_cell_angle_gamma 120.00
_symmetry_space_group_name_H-M 'R -3 m'
_symmetry_Int_Tables_number 166
_symmetry_space_group_name_Hall '-R 3 2"'
loop_
_atom_site_label
_atom_site_type_symbol
_atom_site_fract_x
_atom_site_fract_y
_atom_site_fract_z
Ba1 Ba 0.0000 0.0000 0.0000
Cu1 Cu 0.0000 0.0000 0.1872
Si1 Si 0.0000 0.0000 0.5000

***

[5]
# BaCu2Si, optimized geometry, DFT PBEsol
# * DOS at the Fermi energy: 1.68 states/eV/f.u.
# * ΔE_f (raw): -0.23 eV per atom
data_BaCu2Si
_cell_length_a 7.134
_cell_length_b 4.117
_cell_length_c 6.177
_cell_angle_alpha 90.00
_cell_angle_beta 111.97
_cell_angle_gamma 90.00
_symmetry_space_group_name_H-M 'C 1 m 1'
_symmetry_Int_Tables_number 8
_symmetry_space_group_name_Hall 'C -2y'
loop_
_atom_site_label
_atom_site_type_symbol
_atom_site_fract_x
_atom_site_fract_y
_atom_site_fract_z
Ba1 Ba 0.000 0.000 0.000
Cu1 Cu 0.180 0.000 0.552
Cu2 Cu 0.494 0.000 0.491
Si1 Si 0.306 0.500 0.426

***

[6]
# BaCu2Si, optimized geometry, DFT PBEsol
# * DOS at the Fermi energy: 0.64 states/eV/f.u.
# * ΔE_f (raw): -0.14 eV per atom
data_BaCu2Si
_cell_length_a 4.964
_cell_length_b 4.964
_cell_length_c 15.312
_cell_angle_alpha 90.00
_cell_angle_beta 90.00
_cell_angle_gamma 90.00
_symmetry_space_group_name_H-M 'I 41/a m d'
_symmetry_Int_Tables_number 141
loop_
_symmetry_equiv_pos_as_xyz
'x,y,z'
'-x,-y,-z'
'-y+1/4,x+3/4,z+1/4'
'y+1/4,-x+3/4,-z+1/4'
'-x+1/2,-y,z+1/2'
'x+1/2,y,-z+1/2'
'y+1/4,-x+1/4,z+3/4'
'-y+1/4,x+1/4,-z+3/4'
'x,-y,-z'
'-x,y,z'
'-y+1/4,-x+1/4,-z+3/4'
'y+1/4,x+1/4,z+3/4'
'-x+1/2,y,-z+1/2'
'x+1/2,-y,z+1/2'
'y+1/4,x+3/4,-z+1/4'
'-y+1/4,-x+3/4,z+1/4'
'x+1/2,y+1/2,z+1/2'
'-x+1/2,-y+1/2,-z+1/2'
'-y+3/4,x+1/4,z+3/4'
'y+3/4,-x+1/4,-z+3/4'
'-x,-y+1/2,z'
'x,y+1/2,-z'
'y+3/4,-x+3/4,z+1/4'
'-y+3/4,x+3/4,-z+1/4'
'x+1/2,-y+1/2,-z+1/2'
'-x+1/2,y+1/2,z+1/2'
'-y+3/4,-x+3/4,-z+1/4'
'y+3/4,x+3/4,z+1/4'
'-x,y+1/2,-z'
'x,-y+1/2,z'
'y+3/4,x+1/4,-z+3/4'
'-y+3/4,-x+1/4,z+3/4'
loop_
_atom_site_label
_atom_site_type_symbol
_atom_site_fract_x
_atom_site_fract_y
_atom_site_fract_z
Ba1 Ba 0.000 0.250 0.375
Cu1 Cu 0.000 0.000 0.000
Si1 Si 0.000 0.250 0.875

***

[7]
# BaCu9Sn4, optimized geometry, DFT PBEsol
# * calculated formation energy: -172 meV/atom
# * DOS at the Fermi energy: 2.61 states/eV/f.u.
data_BaCu9Sn4
_cell_length_a 8.611
_cell_length_b 8.611
_cell_length_c 12.384
_cell_angle_alpha 90.00
_cell_angle_beta 90.00
_cell_angle_gamma 90.00
_symmetry_space_group_name_H-M 'I 4/m c m'
_symmetry_Int_Tables_number 140
_symmetry_space_group_name_Hall '-I 4 2c'
loop_
_atom_site_label
_atom_site_type_symbol
_atom_site_fract_x
_atom_site_fract_y
_atom_site_fract_z
Ba1 Ba 0.000 0.000 0.250
Cu1 Cu 0.000 0.500 0.000
Cu2 Cu 0.055 0.204 0.000
Cu3 Cu 0.108 0.392 0.174
Sn1 Sn 0.185 0.315 0.375

***

[8]
# Ba3SrCu, optimized geometry, DFT PBEsol
# * calculated formation energy: 56 meV/atom
# * DOS at the Fermi energy: 3.59 states/eV/f.u.
data_Ba3SrCu
_cell_length_a 6.306
_cell_length_b 6.306
_cell_length_c 6.306
_cell_angle_alpha 90.00
_cell_angle_beta 90.00
_cell_angle_gamma 90.00
_symmetry_space_group_name_H-M 'P m -3 m'
_symmetry_Int_Tables_number 221
_symmetry_space_group_name_Hall '-P 4 2 3'
loop_
_atom_site_label
_atom_site_type_symbol
_atom_site_fract_x
_atom_site_fract_y
_atom_site_fract_z
Ba1 Ba 0.000 0.000 0.500
Sr1 Sr 0.500 0.500 0.500
Cu1 Cu 0.000 0.000 0.000

***

[9]
# BaSr3Cu, optimized geometry, DFT PBEsol
# * calculated formation energy: 24 meV/atom
# * DOS at the Fermi energy: 3.94 states/eV/f.u.
data_BaSr3Cu
_cell_length_a 6.080
_cell_length_b 6.080
_cell_length_c 6.080
_cell_angle_alpha 90.00
_cell_angle_beta 90.00
_cell_angle_gamma 90.00
_symmetry_space_group_name_H-M 'P m -3 m'
_symmetry_Int_Tables_number 221
_symmetry_space_group_name_Hall '-P 4 2 3'
loop_
_atom_site_label
_atom_site_type_symbol
_atom_site_fract_x
_atom_site_fract_y
_atom_site_fract_z
Ba1 Ba 0.000 0.000 0.000
Sr1 Sr 0.000 0.500 0.500
Cu1 Cu 0.500 0.500 0.500

***

[10]
# Ba4SrCu, optimized geometry, DFT PBEsol
# * calculated formation energy: 593 meV/atom
# * DOS at the Fermi energy: 12.41 states/eV/f.u.
data_Ba4SrCu
_cell_length_a 10.606
_cell_length_b 10.606
_cell_length_c 10.606
_cell_angle_alpha 90.00
_cell_angle_beta 90.00
_cell_angle_gamma 90.00
_symmetry_space_group_name_H-M 'F -4 3 m'
_symmetry_Int_Tables_number 216
_symmetry_space_group_name_Hall 'F -4 2 3'
loop_
_atom_site_label
_atom_site_type_symbol
_atom_site_fract_x
_atom_site_fract_y
_atom_site_fract_z
Ba1 Ba 0.124 0.124 0.376
Sr1 Sr 0.000 0.000 0.000
Cu1 Cu 0.250 0.250 0.750

***

[11]
# BaTaCu3, optimized geometry, DFT PBEsol
# * calculated formation energy: 2266 meV/atom
# * DOS at the Fermi energy: 3.32 states/eV/f.u.
data_BaTaCu3
_cell_length_a 4.920
_cell_length_b 4.920
_cell_length_c 4.920
_cell_angle_alpha 90.00
_cell_angle_beta 90.00
_cell_angle_gamma 90.00
_symmetry_space_group_name_H-M 'P m -3 m'
_symmetry_Int_Tables_number 221
_symmetry_space_group_name_Hall '-P 4 2 3'
loop_
_atom_site_label
_atom_site_type_symbol
_atom_site_fract_x
_atom_site_fract_y
_atom_site_fract_z
Ba1 Ba 0.000 0.000 0.000
Ta1 Ta 0.500 0.500 0.500
Cu1 Cu 0.000 0.000 0.500

***

[12]
# Ba4TaCu, optimized geometry, DFT PBEsol
# * calculated formation energy: 1358 meV/atom
# * DOS at the Fermi energy: 8.20 states/eV/f.u.
data_Ba4TaCu
_cell_length_a 9.628
_cell_length_b 9.628
_cell_length_c 9.628
_cell_angle_alpha 90.00
_cell_angle_beta 90.00
_cell_angle_gamma 90.00
_symmetry_space_group_name_H-M 'F -4 3 m'
_symmetry_Int_Tables_number 216
_symmetry_space_group_name_Hall 'F -4 2 3'
loop_
_atom_site_label
_atom_site_type_symbol
_atom_site_fract_x
_atom_site_fract_y
_atom_site_fract_z
Ba1 Ba 0.125 0.125 0.125
Ta1 Ta 0.000 0.000 0.500
Cu1 Cu 0.250 0.250 0.750

***

[13]
# Ba2TaCu, optimized geometry, DFT PBEsol
# * calculated formation energy: 1124 meV/atom
# * DOS at the Fermi energy: 6.15 states/eV/f.u.
data_Ba2TaCu
_cell_length_a 7.837
_cell_length_b 7.837
_cell_length_c 7.837
_cell_angle_alpha 90.00
_cell_angle_beta 90.00
_cell_angle_gamma 90.00
_symmetry_space_group_name_H-M 'F m -3 m'
_symmetry_Int_Tables_number 225
_symmetry_space_group_name_Hall '-F 4 2 3'
loop_
_atom_site_label
_atom_site_type_symbol
_atom_site_fract_x
_atom_site_fract_y
_atom_site_fract_z
Ba1 Ba 0.250 0.250 0.250
Ta1 Ta 0.000 0.000 0.000
Cu1 Cu 0.000 0.000 0.500

***

[14]
# Ba2TaCu, optimized geometry, DFT PBEsol
# * calculated formation energy: 938 meV/atom
# * DOS at the Fermi energy: 3.40 states/eV/f.u.
data_Ba2TaCu
_cell_length_a 5.746
_cell_length_b 5.746
_cell_length_c 3.354
_cell_angle_alpha 90.00
_cell_angle_beta 90.00
_cell_angle_gamma 90.00
_symmetry_space_group_name_H-M 'P 4/m m m'
_symmetry_Int_Tables_number 123
_symmetry_space_group_name_Hall '-P 4 2'
loop_
_atom_site_label
_atom_site_type_symbol
_atom_site_fract_x
_atom_site_fract_y
_atom_site_fract_z
Ba1 Ba 0.000 0.500 0.000
Ta1 Ta 0.000 0.000 0.500
Cu1 Cu 0.500 0.500 0.500

***

[15]
# BaTa4Cu, optimized geometry, DFT PBEsol
# * calculated formation energy: 990 meV/atom
# * DOS at the Fermi energy: 6.62 states/eV/f.u.
data_BaTa4Cu
_cell_length_a 7.931
_cell_length_b 7.931
_cell_length_c 7.931
_cell_angle_alpha 90.00
_cell_angle_beta 90.00
_cell_angle_gamma 90.00
_symmetry_space_group_name_H-M 'F -4 3 m'
_symmetry_Int_Tables_number 216
_symmetry_space_group_name_Hall 'F -4 2 3'
loop_
_atom_site_label
_atom_site_type_symbol
_atom_site_fract_x
_atom_site_fract_y
_atom_site_fract_z
Ba1 Ba 0.000 0.000 0.000
Ta1 Ta 0.126 0.126 0.374
Cu1 Cu 0.250 0.250 0.750

***

[16]
# Ba3TaCu, optimized geometry, DFT PBEsol
# * calculated formation energy: 1141 meV/atom
# * DOS at the Fermi energy: 6.22 states/eV/f.u.
data_Ba3TaCu
_cell_length_a 5.923
_cell_length_b 5.923
_cell_length_c 5.923
_cell_angle_alpha 90.00
_cell_angle_beta 90.00
_cell_angle_gamma 90.00
_symmetry_space_group_name_H-M 'P m -3 m'
_symmetry_Int_Tables_number 221
_symmetry_space_group_name_Hall '-P 4 2 3'
loop_
_atom_site_label
_atom_site_type_symbol
_atom_site_fract_x
_atom_site_fract_y
_atom_site_fract_z
Ba1 Ba 0.000 0.000 0.500
Ta1 Ta 0.000 0.000 0.000
Cu1 Cu 0.500 0.500 0.500

***

[17]
# BaCu2Tc, optimized geometry, DFT PBEsol
# * calculated formation energy: 569 meV/atom
# * DOS at the Fermi energy: 3.91 states/eV/f.u.
data_BaCu2Tc
_cell_length_a 3.095
_cell_length_b 3.331
_cell_length_c 7.133
_cell_angle_alpha 90.00
_cell_angle_beta 90.00
_cell_angle_gamma 90.00
_symmetry_space_group_name_H-M 'P m m m'
_symmetry_Int_Tables_number 47
_symmetry_space_group_name_Hall '-P 2 2'
loop_
_atom_site_label
_atom_site_type_symbol
_atom_site_fract_x
_atom_site_fract_y
_atom_site_fract_z
Ba1 Ba 0.000 0.000 0.000
Cu1 Cu 0.500 0.500 0.330
Tc1 Tc 0.000 0.000 0.500

***

[18]
# Ba3CuTc, optimized geometry, DFT PBEsol
# * calculated formation energy: 1041 meV/atom
# * DOS at the Fermi energy: 7.35 states/eV/f.u.
data_Ba3CuTc
_cell_length_a 5.886
_cell_length_b 5.886
_cell_length_c 5.886
_cell_angle_alpha 90.00
_cell_angle_beta 90.00
_cell_angle_gamma 90.00
_symmetry_space_group_name_H-M 'P m -3 m'
_symmetry_Int_Tables_number 221
_symmetry_space_group_name_Hall '-P 4 2 3'
loop_
_atom_site_label
_atom_site_type_symbol
_atom_site_fract_x
_atom_site_fract_y
_atom_site_fract_z
Ba1 Ba 0.000 0.000 0.500
Cu1 Cu 0.000 0.000 0.000
Tc1 Tc 0.500 0.500 0.500

***

[19]
# BaCuTc2, optimized geometry, DFT PBEsol
# * calculated formation energy: 792 meV/atom
# * DOS at the Fermi energy: 4.05 states/eV/f.u.
data_BaCuTc2
_cell_length_a 3.313
_cell_length_b 3.313
_cell_length_c 7.258
_cell_angle_alpha 90.00
_cell_angle_beta 90.00
_cell_angle_gamma 90.00
_symmetry_space_group_name_H-M 'P 4/m m m'
_symmetry_Int_Tables_number 123
_symmetry_space_group_name_Hall '-P 4 2'
loop_
_atom_site_label
_atom_site_type_symbol
_atom_site_fract_x
_atom_site_fract_y
_atom_site_fract_z
Ba1 Ba 0.000 0.000 0.000
Cu1 Cu 0.000 0.000 0.500
Tc1 Tc 0.500 0.500 0.351

***

[20]
# BaCuTe2, optimized geometry, DFT PBEsol
# * DOS at the Fermi energy: 2.39 states/eV/f.u.
# * ΔE_f (raw): -0.84 eV per atom
data_BaCuTe2
_cell_length_a 12.543
_cell_length_b 4.460
_cell_length_c 4.458
_cell_angle_alpha 90.00
_cell_angle_beta 110.71
_cell_angle_gamma 90.00
_symmetry_space_group_name_H-M 'C 1 m 1'
_symmetry_Int_Tables_number 8
_symmetry_space_group_name_Hall 'C -2y'
loop_
_atom_site_label
_atom_site_type_symbol
_atom_site_fract_x
_atom_site_fract_y
_atom_site_fract_z
Ba1 Ba 0.000 0.000 0.000
Cu1 Cu 0.250 0.500 0.251
Te1 Te 0.143 0.500 0.645
Te2 Te 0.357 0.000 0.355